1.
Below is a relaxed structure of Tb2PmDy2Sc, with properties calculated at the PBE level.

Geometry as POSCAR:
```
Tb2PmDy2Sc
1.0
5.563 0.000 0.000
0.000 6.896 0.000
0.000 0.000 9.630
Tb Pm Dy Sc
4 2 4 2
Direct
0.000 0.258 0.831 Tb
0.500 0.258 0.334 Tb
0.000 0.758 0.169 Tb
0.500 0.758 0.666 Tb
0.000 0.008 0.500 Pm
0.000 0.508 0.500 Pm
0.500 0.008 0.000 Dy
0.000 0.258 0.164 Dy
0.500 0.508 0.000 Dy
0.000 0.758 0.836 Dy
0.500 0.258 0.668 Sc
0.500 0.758 0.332 Sc
```

Output
The density of states at the Fermi level comes out at 20.5 states/eV/cell. The energy of formation is 0.0746 eV/atom. The value obtained for the size of the total moment is 0.000 μB per atom.

2.
Below is a relaxed structure of YbO3, with properties calculated at the PBE level.

Geometry as POSCAR:
```
YbO3
1.0
-0.966 1.362 -4.633
-3.699 -0.948 3.110
-0.033 4.156 1.229
Yb O
2 6
Direct
0.333 0.667 0.750 Yb
0.667 0.333 0.250 Yb
0.369 0.185 0.750 O
0.631 0.815 0.250 O
0.815 0.185 0.750 O
0.185 0.815 0.250 O
0.815 0.631 0.750 O
0.185 0.369 0.250 O
```

Output
The uncorrected formation energy comes out at -0.976 eV per atom. The density of states at the Fermi level comes out at 10.3 states/eV/cell. The value obtained for the size of the total moment is 0.988 μB per atom.

3.
Below is a relaxed structure of BeSiSb, with properties calculated at the PBE level.

Geometry as POSCAR:
```
BeSiSb
1.0
8.766 0.000 -0.020
0.000 3.574 0.000
-0.259 0.000 7.548
Sb Si Be
4 4 4
Direct
0.186 0.000 0.138 Sb
0.186 0.500 0.638 Sb
0.551 0.000 0.890 Sb
0.551 0.500 0.390 Sb
0.011 0.000 0.425 Si
0.011 0.500 0.925 Si
0.831 0.000 0.757 Si
0.831 0.500 0.257 Si
0.665 0.000 0.192 Be
0.665 0.500 0.692 Be
0.886 0.000 0.060 Be
0.886 0.500 0.560 Be
```

Output
The uncorrected formation energy comes out at 0.264 eV per atom. The density of states at the Fermi level comes out at 3.3 states/eV/cell. The value obtained for the size of the total moment is 0.000 μB per atom.

4.
Below is a relaxed structure of SrZnC2Se, with properties calculated at the PBE level.

Geometry as POSCAR:
```
SrZnC2Se
1.0
-1.891 -4.318 0.057
3.808 -1.697 -2.201
2.675 -1.099 5.476
Sr Zn C Se
1 1 2 1
Direct
0.000 0.000 0.000 Sr
0.500 0.500 0.500 Zn
0.000 0.500 0.000 C
0.500 0.000 0.000 C
0.000 0.000 0.500 Se
```

Output
The uncorrected formation energy comes out at 2.368 eV per atom. The density of states at the Fermi level comes out at 5.2 states/eV/cell. The value obtained for the size of the total moment is 0.579 μB per atom.